# KMgV3Cu4O13

An optimized crystal structure of KMgV3Cu4O13 (PBE with a Hubbard U, the Alexandria database).

Geometry as POSCAR:
```
KMgV3Cu4O13
1.0
8.374 0.000 0.000
0.000 6.080 0.000
-1.588 0.000 10.857
K Mg V Cu O
2 2 6 8 26
direct
0.019 0.250 0.400
0.981 0.750 0.600
0.308 0.250 0.645
0.692 0.750 0.355
0.031 0.750 0.209
0.323 0.750 0.870
0.367 0.750 0.503
0.633 0.250 0.497
0.677 0.250 0.130
0.969 0.250 0.791
0.099 0.250 0.105
0.356 0.250 0.943
0.392 0.001 0.231
0.392 0.499 0.231
0.608 0.501 0.769
0.608 0.999 0.769
0.644 0.750 0.057
0.901 0.750 0.895
0.071 0.250 0.668
0.116 0.250 0.925
0.120 0.750 0.867
0.158 0.517 0.221
0.158 0.983 0.221
0.257 0.520 0.529
0.257 0.980 0.529
0.342 0.250 0.122
0.378 0.003 0.798
0.378 0.497 0.798
0.410 0.750 0.023
0.437 0.750 0.343
0.466 0.250 0.390
0.534 0.750 0.610
0.563 0.250 0.657
0.590 0.250 0.977
0.622 0.503 0.202
0.622 0.997 0.202
0.658 0.750 0.878
0.743 0.020 0.471
0.743 0.480 0.471
0.842 0.017 0.779
0.842 0.483 0.779
0.880 0.250 0.133
0.884 0.750 0.075
0.929 0.750 0.332
```

Computed properties:
**M_tot**: 2.0 μB per formula unit
**DFT total energy**: -6.30 eV per atom
**Space-group type**: P2_1/m
**Theoretical density**: 4.1 g/cm3
**D(E_F)**: 0.233 states/eV per atom